(1)
A plane-wave DFT calculation with SCAN was carried out for a PBEsol-optimized structure of RbYRe2As.

Geometry as POSCAR:
```
RbYRe2As
1.0
4.6258 0.0000 0.0000
0.0000 4.6258 0.0000
0.0000 0.0000 5.4613
Re Y As Rb
2 1 1 1
direct
0.0000 0.5000 0.0000 Re
0.5000 0.0000 0.0000 Re
0.5000 0.5000 0.5000 Y
0.0000 0.0000 0.0000 As
0.0000 0.0000 0.5000 Rb
```

Results
Mass density ... 8.83 g cm⁻³
Space-group type ... P4/mmm, No. 123

(2)
A plane-wave DFT calculation with SCAN was carried out for a PBEsol-optimized structure of Zn2CrMo.

Geometry as POSCAR:
```
Zn2CrMo
1.0
2.5379 0.0052 0.0088
-0.4048 4.8901 -0.0054
-0.4048 -2.3575 4.2843
Mo Cr Zn
1 1 2
direct
0.5000 0.0000 0.0000 Mo
0.5000 0.5000 0.5000 Cr
0.0000 0.0000 0.5000 Zn
0.0000 0.5000 0.0000 Zn
```

Results
Mass density ... 8.71 g cm⁻³
ΔE to the lowest computed polymorph ... 0.010 eV/atom
Space-group type ... C2/m, No. 12

(3)
A plane-wave DFT calculation with SCAN was carried out for a PBEsol-optimized structure of BeNi2Os.

Geometry as POSCAR:
```
BeNi2Os
1.0
-1.4355 -0.8617 -2.0512
-1.7529 -1.0653 1.6742
-3.1178 5.1557 0.0161
Be Ni Os
1 2 1
direct
0.5000 0.5000 0.7754 Be
0.5000 0.5000 0.2387 Ni
0.0000 0.0000 0.9675 Ni
0.0000 0.0000 0.5184 Os
```

Results
Mass density ... 12.45 g cm⁻³
Space-group type ... P4mm, No. 99

The DFT formation energy results, record by record, are as follows: 1288; 174; -73 meV per atom.
The DOS(E_F) results, record by record, are as follows: 5.6; 2.4; 3.4 states/eV/f.u..